A relaxed structure of Dy2BPd2Pt4. Source: the Alexandria database, functional PBE.

abc: 5.8704 5.8704 8.6634
angles: 90.00 90.00 90.00
With the nearest neighbours (Å) after each atom.
Space group I4/mmm (No. 139)
Inequivalent atoms, fractional coordinates:
Dy 0.0000 0.5000 0.2500  4 Pd 2.94, 8 Pt 3.00
B 0.0000 0.0000 0.0000  4 Pt 2.12, 2 Pd 2.24
Pd 0.0000 0.0000 0.2584  1 B 2.24
Pt 0.2442 0.2442 0.5000  1 B 2.12

Summary:
Magnetization, μB/atom: 0.000
Energy of formation from the pure elements, eV per atom: -0.99
Energy, eV/atom: -6.591

***

A relaxed structure of DyBPdRh2. Source: the Alexandria database, functional PBE.

abc: 4.2224 4.2224 4.2400
angles: 90.00 90.00 90.00
With the nearest neighbours (Å) after each atom.
Space group P4/mmm (No. 123)
Inequivalent atoms, fractional coordinates:
Dy 0.0000 0.0000 0.0000  4 Pd 2.99, 8 Rh 2.99
B 0.5000 0.5000 0.5000  4 Rh 2.11, 2 Pd 2.12
Pd 0.5000 0.5000 0.0000  2 B 2.12
Rh 0.0000 0.5000 0.5000  2 B 2.11

Summary:
Magnetization, μB/atom: 0.000
Energy of formation from the pure elements, eV per atom: -0.81
Energy, eV/atom: -7.048

***

A relaxed structure of Dy2B2PdRh5. Source: the Alexandria database, functional PBE.

abc: 9.5348 9.5348 3.2325
angles: 90.00 90.00 90.00
With the nearest neighbours (Å) after each atom.
Space group P4/mbm (No. 127)
Inequivalent atoms, fractional coordinates:
Dy 0.1773 0.3227 0.0000  3 B 2.69-2.91, 10 Rh 2.89-3.01
B 0.1231 0.6231 0.0000  6 Rh 2.22-2.32
Pd 0.0000 0.0000 0.0000  8 Rh 2.77
Rh 0.0000 0.5000 0.5000  4 B 2.32
Rh 0.0704 0.7744 0.5000  2 B 2.22

Summary:
Magnetization, μB/atom: 0.000
Energy of formation from the pure elements, eV per atom: -0.66
Energy, eV/atom: -7.112

***

A relaxed structure of PmDy2B6. Source: the Alexandria database, functional PBE.

abc: 5.7292 5.7292 3.9468
angles: 90.00 90.00 120.00
With the nearest neighbours (Å) after each atom.
Space group P6/mmm (No. 191)
Inequivalent atoms, fractional coordinates:
Pm 0.0000 0.0000 0.0000  12 B 2.76
Dy 0.3333 0.6667 0.0000  12 B 2.74
B 0.0000 0.3379 0.5000  3 B 1.86-1.94

Summary:
Magnetization, μB/atom: 0.000
Energy of formation from the pure elements, eV per atom: -0.49
Energy, eV/atom: -6.489

***

A relaxed structure of PmDy3B. Source: the Alexandria database, functional PBE.

abc: 5.1765 5.1765 5.1765
angles: 90.00 90.00 90.00
With the nearest neighbours (Å) after each atom.
Space group Pm-3m (No. 221)
Inequivalent atoms, fractional coordinates:
Pm 0.0000 0.0000 0.0000  12 Dy 3.66
Dy 0.0000 0.5000 0.5000  2 B 2.59
B 0.5000 0.5000 0.5000  6 Dy 2.59

Summary:
Magnetization, μB/atom: 0.000
Energy of formation from the pure elements, eV per atom: 0.06
Energy, eV/atom: -4.988

***

A relaxed structure of PmDyB12. Source: the Alexandria database, functional PBE.

abc: 4.1097 4.1097 8.2221
angles: 90.00 90.00 90.00
With the nearest neighbours (Å) after each atom.
Space group P4/mmm (No. 123)
Inequivalent atoms, fractional coordinates:
Pm 0.0000 0.0000 0.0000  24 B 3.02-3.03
Dy 0.0000 0.0000 0.5000  24 B 3.01-3.02
B 0.1992 0.5000 0.2514  5 B 1.64-1.75
B 0.5000 0.5000 0.1001  5 B 1.65-1.75
B 0.5000 0.5000 0.4011  5 B 1.63-1.74

Summary:
Magnetization, μB/atom: 0.000
Energy of formation from the pure elements, eV per atom: -0.43
Energy, eV/atom: -6.825

***

A relaxed structure of DyBPt3. Source: the Alexandria database, functional PBE.

abc: 5.3056 5.6190 5.4172
angles: 90.00 96.31 90.00
With the nearest neighbours (Å) after each atom.
Space group P2_1/m (No. 11)
Inequivalent atoms, fractional coordinates:
Dy 0.1409 0.2500 0.1973  4 B 2.88-3.22, 10 Pt 2.89-3.16
B 0.3722 0.7500 0.0389  5 Pt 2.09-2.22
Pt 0.1317 0.7500 0.3193  1 B 2.09
Pt 0.3600 0.0056 0.7414  2 B 2.15-2.22

Summary:
Magnetization, μB/atom: 0.000
Energy of formation from the pure elements, eV per atom: -0.87
Energy, eV/atom: -6.752

***

A relaxed structure of Dy2BPt5. Source: the Alexandria database, functional PBE.

abc: 10.1697 5.7746 5.7890
angles: 90.00 119.82 90.00
With the nearest neighbours (Å) after each atom.
Space group Cm (No. 8)
Inequivalent atoms, fractional coordinates:
Dy 0.0000 0.0000 0.0000  10 Pt 2.90-3.11
Dy 0.9998 0.5000 0.4699  10 Pt 2.88-3.11, 1 B 3.18
B 0.2133 0.5000 0.2142  5 Pt 2.09-2.14
Pt 0.2436 0.2463 0.9764  1 B 2.14
Pt 0.2541 0.2439 0.4981  1 B 2.09
Pt 0.4738 0.0000 0.9434  1 B 2.14

Summary:
Magnetization, μB/atom: 0.000
Energy of formation from the pure elements, eV per atom: -0.98
Energy, eV/atom: -6.740

***

A relaxed structure of DyBPt4. Source: the Alexandria database, functional PBE.

abc: 14.2938 5.6829 4.9926
angles: 90.00 110.27 90.00
With the nearest neighbours (Å) after each atom.
Space group C2/m (No. 12)
Inequivalent atoms, fractional coordinates:
Dy 0.1945 0.0000 0.1941  12 Pt 2.84-3.06
B 0.0002 0.5000 0.3217  1 B 1.78
Pt 0.0000 0.2512 0.0000  2 B 2.14
Pt 0.1149 0.2481 0.6149  2 B 2.28
Pt 0.1947 0.5000 0.1958  4 Dy 2.84-2.91, 8 Pt 2.92-3.08, 2 B 3.05-3.07

Summary:
Magnetization, μB/atom: 0.000
Energy of formation from the pure elements, eV per atom: -0.72
Energy, eV/atom: -6.628

***

A relaxed structure of DyBPt4. Source: the Alexandria database, functional PBE.

abc: 5.5917 5.6529 7.7210
angles: 108.36 111.20 90.02
With the nearest neighbours (Å) after each atom.
Space group P-1 (No. 2)
Inequivalent atoms, fractional coordinates:
Dy 0.2456 0.2506 0.0020  6 Pt 2.91-3.14
B 0.0000 0.5000 0.5000  6 Pt 2.10-2.16
B 0.5000 0.0000 0.5000  6 Pt 2.10-2.16
Pt 0.1685 0.1695 0.5088  2 B 2.10
Pt 0.1729 0.7078 0.8134  1 B 2.16
Pt 0.3402 0.6695 0.5087  2 B 2.10
Pt 0.3612 0.7937 0.1864  1 B 2.16

Summary:
Magnetization, μB/atom: 0.000
Energy of formation from the pure elements, eV per atom: -0.62
Energy, eV/atom: -6.527

***

A relaxed structure of Dy3B2Pt9. Source: the Alexandria database, functional PBE.

abc: 6.0058 6.0058 14.7096
angles: 90.00 90.00 120.00
With the nearest neighbours (Å) after each atom.
Space group P6_3/mmc (No. 194)
Inequivalent atoms, fractional coordinates:
Dy 0.0000 0.0000 0.2500  12 Pt 2.99-3.00
Dy 0.3333 0.6667 0.0788  12 Pt 2.96-3.02
B 0.3333 0.6667 0.6597  6 Pt 2.14-2.24
Pt 0.0135 0.5067 0.2500  2 B 2.24
Pt 0.1601 0.3202 0.5809  1 B 2.14

Summary:
Magnetization, μB/atom: 0.000
Energy of formation from the pure elements, eV per atom: -0.92
Energy, eV/atom: -6.743

***

A relaxed structure of DyB3Pt6. Source: the Alexandria database, functional PBE.

abc: 5.5900 5.6050 5.7524
angles: 109.27 91.07 119.45
With the nearest neighbours (Å) after each atom.
Space group P1 (No. 1)
Inequivalent atoms, fractional coordinates:
Dy 0.0000 0.0000 0.0000  1 B 2.68, 7 Pt 2.84-2.99
B 0.1233 0.2323 0.5059  5 Pt 2.19-2.34
B 0.3490 0.7308 0.1369  6 Pt 2.13-2.29
B 0.6993 0.4091 0.1517  5 Pt 2.14-2.23
Pt 0.0919 0.5657 0.3826  3 B 2.13-2.28
Pt 0.4624 0.9452 0.8605  2 B 2.22-2.23
Pt 0.4719 0.1778 0.3842  3 B 2.16-2.21
Pt 0.4755 0.4549 0.8676  3 B 2.19-2.34
Pt 0.7140 0.8117 0.4011  3 B 2.20-2.28
Pt 0.9570 0.4070 0.8145  3 B 2.19-2.44

Summary:
Magnetization, μB/atom: 0.000
Energy of formation from the pure elements, eV per atom: -0.52
Energy, eV/atom: -6.603

***

A relaxed structure of DyBPt. Source: the Alexandria database, functional PBE.

abc: 10.3674 3.5036 5.6469
angles: 90.00 90.00 90.00
With the nearest neighbours (Å) after each atom.
Space group Pnma (No. 62)
Inequivalent atoms, fractional coordinates:
Dy 0.0712 0.2500 0.2321  4 B 2.67-2.87, 1 Pt 2.96
B 0.1732 0.7500 0.9297  3 Pt 2.13-2.22
Pt 0.1800 0.2500 0.7161  3 B 2.13-2.22

Summary:
Magnetization, μB/atom: 0.000
Energy of formation from the pure elements, eV per atom: -0.74
Energy, eV/atom: -6.517

***

A relaxed structure of DyBPt6. Source: the Alexandria database, functional PBE.

abc: 5.5827 5.5827 15.3989
angles: 90.00 90.00 120.00
With the nearest neighbours (Å) after each atom.
Space group R-3m (No. 166, hexagonal axes)
Inequivalent atoms, fractional coordinates:
Dy 0.0000 0.0000 0.0000  12 Pt 3.09
B 0.0000 0.0000 0.5000  6 Pt 2.08
Pt 0.0139 0.5069 0.9136  1 B 2.08

Summary:
Magnetization, μB/atom: 0.000
Energy of formation from the pure elements, eV per atom: -0.56
Energy, eV/atom: -6.498

***

A relaxed structure of DyB3Pt9. Source: the Alexandria database, functional PBE.

abc: 7.8976 7.8976 4.0999
angles: 90.00 90.00 120.00
With the nearest neighbours (Å) after each atom.
Space group P6/mmm (No. 191)
Inequivalent atoms, fractional coordinates:
Dy 0.0000 0.0000 0.0000  12 Pt 3.40
B 0.0000 0.5000 0.5000  6 Pt 2.05-2.10
Pt 0.0000 0.5000 0.0000  2 B 2.05
Pt 0.1985 0.3969 0.5000  2 B 2.10

Summary:
Magnetization, μB/atom: 0.000
Energy of formation from the pure elements, eV per atom: -0.23
Energy, eV/atom: -6.305

***

A relaxed structure of DyBPt2. Source: the Alexandria database, functional PBE.

abc: 3.8320 3.8320 16.2037
angles: 90.00 90.00 120.00
With the nearest neighbours (Å) after each atom.
Space group R-3m (No. 166, hexagonal axes)
Inequivalent atoms, fractional coordinates:
Dy 0.0000 0.0000 0.0000  6 Pt 2.95
B 0.0000 0.0000 0.5000  6 Pt 2.34
Pt 0.0000 0.0000 0.2134  3 B 2.34

Summary:
Magnetization, μB/atom: 0.000
Energy of formation from the pure elements, eV per atom: -0.51
Energy, eV/atom: -6.351

***

A relaxed structure of DyB4Pt12. Source: the Alexandria database, functional PBE.

abc: 7.9681 7.9681 7.9681
angles: 90.00 90.00 90.00
With the nearest neighbours (Å) after each atom.
Space group Im-3 (No. 204)
Inequivalent atoms, fractional coordinates:
Dy 0.0000 0.0000 0.0000  12 Pt 2.94
B 0.2500 0.2500 0.2500  6 Pt 2.15
Pt 0.0000 0.1791 0.3222  2 B 2.15

Summary:
Magnetization, μB/atom: 0.000
Energy of formation from the pure elements, eV per atom: -0.37
Energy, eV/atom: -6.474

***

A relaxed structure of Dy2BPt2Rh4. Source: the Alexandria database, functional PBE.

abc: 5.8831 5.8831 8.2006
angles: 90.00 90.00 90.00
With the nearest neighbours (Å) after each atom.
Space group I4/mmm (No. 139)
Inequivalent atoms, fractional coordinates:
Dy 0.0000 0.5000 0.2500  8 Rh 2.92, 4 Pt 2.94
B 0.0000 0.0000 0.0000  4 Rh 2.12, 2 Pt 2.13
Pt 0.0000 0.0000 0.2598  1 B 2.13
Rh 0.2446 0.2446 0.5000  1 B 2.12

Summary:
Magnetization, μB/atom: 0.000
Energy of formation from the pure elements, eV per atom: -0.88
Energy, eV/atom: -7.251

***

A relaxed structure of Dy3B2PtRh9. Source: the Alexandria database, functional PBE.

abc: 5.7319 5.7319 8.8611
angles: 90.00 90.00 120.00
With the nearest neighbours (Å) after each atom.
Space group P-3m1 (No. 164)
Inequivalent atoms, fractional coordinates:
Dy 0.0000 0.0000 0.0000  12 Rh 2.87-2.88
Dy 0.3333 0.6667 0.6277  6 Rh 3.01
B 0.3333 0.6667 0.1455  6 Rh 2.03-2.10
Pt 0.0000 0.0000 0.5000  6 Rh 2.59
Rh 0.0000 0.5000 0.0000  2 B 2.10
Rh 0.1613 0.3226 0.2698  1 B 2.03

Summary:
Magnetization, μB/atom: 0.000
Energy of formation from the pure elements, eV per atom: -0.51
Energy, eV/atom: -7.136

***

A relaxed structure of DyBPtRh2. Source: the Alexandria database, functional PBE.

abc: 4.2449 4.2449 4.2196
angles: 90.00 90.00 90.00
With the nearest neighbours (Å) after each atom.
Space group P4/mmm (No. 123)
Inequivalent atoms, fractional coordinates:
Dy 0.0000 0.0000 0.0000  8 Rh 2.99, 4 Pt 3.00
B 0.5000 0.5000 0.5000  2 Pt 2.11, 4 Rh 2.12
Pt 0.5000 0.5000 0.0000  2 B 2.11
Rh 0.0000 0.5000 0.5000  2 B 2.12

Summary:
Magnetization, μB/atom: 0.000
Energy of formation from the pure elements, eV per atom: -0.87
Energy, eV/atom: -7.273

***

A relaxed structure of Dy2B2PtRh5. Source: the Alexandria database, functional PBE.

abc: 9.5173 9.5173 3.2473
angles: 90.00 90.00 90.00
With the nearest neighbours (Å) after each atom.
Space group P4/mbm (No. 127)
Inequivalent atoms, fractional coordinates:
Dy 0.1774 0.3226 0.0000  3 B 2.69-2.90, 10 Rh 2.89-3.01
B 0.1224 0.6224 0.0000  6 Rh 2.23-2.31
Pt 0.0000 0.0000 0.0000  8 Rh 2.77
Rh 0.0000 0.5000 0.5000  4 B 2.31
Rh 0.0705 0.7746 0.5000  2 B 2.23

Summary:
Magnetization, μB/atom: 0.000
Energy of formation from the pure elements, eV per atom: -0.68
Energy, eV/atom: -7.218